Entry from the Alexandria database: a relaxed structure of ScCd2Ru (GGA-PBE).

abc: 3.6329 3.6329 5.7540
angles: 90.00 90.00 90.00
Closest atoms and distances in Å follow each position.
Space group P4/mmm (No. 123)
Asymmetric unit:
Sc 0.0000 0.0000 0.0000 [1 per cell]  2 Ru 2.88, 8 Cd 2.98
Cd 0.5000 0.5000 0.2624 [2 per cell]  2 Cd 2.73-3.02, 4 Ru 2.91, 4 Sc 2.98
Ru 0.0000 0.0000 0.5000 [1 per cell]  2 Sc 2.88, 8 Cd 2.91

Calculated values
Calculated total energy   -17.41 eV per cell
Magnetization   0.09 μB per formula unit
Energy relative to the elements   0.55 kJ per mole of atoms



Entry from the Alexandria database: a relaxed structure of VB3Pb (GGA-PBE).

abc: 4.1826 4.1826 4.1826
angles: 90.00 90.00 90.00
Closest atoms and distances in Å follow each position.
Space group Pm-3m (No. 221)
Asymmetric unit:
V 0.0000 0.0000 0.0000 [1 per cell]  6 B 2.09
B 0.0000 0.0000 0.5000 [3 per cell]  2 V 2.09
Pb 0.5000 0.5000 0.5000 [1 per cell]  12 B 2.96

Calculated values
Calculated total energy   -27.15 eV per cell
Magnetization   0.00 μB per formula unit
Energy relative to the elements   110.13 kJ per mole of atoms



Entry from the Alexandria database: a relaxed structure of Sb2Pt7Pb (GGA-PBE).

abc: 4.0256 4.0256 23.3651
angles: 90.00 90.00 90.00
Closest atoms and distances in Å follow each position.
Space group I4/mmm (No. 139)
Asymmetric unit:
Sb 0.0000 0.0000 0.1702 [4 per cell]  8 Pt 2.69-2.74
Pt 0.0000 0.0000 0.0000 [2 per cell]  4 Pb 2.85, 8 Pt 2.98
Pt 0.0000 0.5000 0.0940 [8 per cell]  2 Sb 2.69, 6 Pt 2.85-2.98, 2 Pb 2.98
Pt 0.0000 0.5000 0.2500 [4 per cell]  4 Sb 2.74, 4 Pt 2.85
Pb 0.0000 0.0000 0.5000 [2 per cell]  12 Pt 2.85-2.98

Calculated values
Calculated total energy   -112.80 eV per cell
Raw formation energy   -216 meV/atom
Magnetization   0.00 μB per formula unit



Entry from the Alexandria database: a relaxed structure of YNb2Co (GGA-PBE).

abc: 6.5643 6.5643 6.5643
angles: 90.00 90.00 90.00
Closest atoms and distances in Å follow each position.
Space group Fm-3m (No. 225)
Asymmetric unit:
Y 0.0000 0.0000 0.0000 [4 per cell]  8 Nb 2.84
Nb 0.2500 0.2500 0.2500 [8 per cell]  4 Y 2.84, 4 Co 2.84
Co 0.0000 0.0000 0.5000 [4 per cell]  8 Nb 2.84

Calculated values
Energy above the most stable polymorph in this dataset   0.0 kJ per mole of atoms
Calculated total energy   -127.39 eV per cell
Magnetization   0.00 μB per formula unit
Energy relative to the elements   44.93 kJ per mole of atoms



Entry from the Alexandria database: a relaxed structure of K2AsAu (GGA-PBE).

abc: 11.0634 4.6502 5.8112
angles: 90.00 121.49 90.00
Closest atoms and distances in Å follow each position.
Space group Cm (No. 8)
Asymmetric unit:
K 0.0000 0.0000 0.0000 [2 per cell]  4 K 3.39-3.77, 4 As 3.49-3.63, 1 Au 3.64
K 0.1856 0.0000 0.6846 [2 per cell]  4 K 3.39-3.77, 4 Au 3.46-3.66, 1 As 3.68
As 0.2953 0.5000 0.2962 [2 per cell]  2 Au 2.48
Au 0.3856 0.0000 0.3836 [2 per cell]  2 As 2.48

Calculated values
Calculated total energy   -23.73 eV per cell
Magnetization   0.00 μB per formula unit
Energy relative to the elements   -42.04 kJ per mole of atoms



Entry from the Alexandria database: a relaxed structure of Pm3Pr7Er2 (GGA-PBE).

abc: 6.5603 3.5994 17.8796
angles: 90.00 95.94 90.00
Closest atoms and distances in Å follow each position.
Space group P2/m (No. 10)
Asymmetric unit:
Pm 0.0000 0.0000 0.0000 [1 per cell]  2 Pm 3.60, 10 Pr 3.70-3.74
Pm 0.0423 0.5000 0.6610 [2 per cell]  2 Pm 3.60, 7 Pr 3.66-3.82, 4 Er 3.68-3.81
Pr 0.2287 0.5000 0.1692 [2 per cell]  2 Er 3.56, 7 Pr 3.60-3.76, 3 Pm 3.67-3.70
Pr 0.2440 0.0000 0.5064 [2 per cell]  2 Pr 3.19-3.39, 2 Er 3.39-3.54
Pr 0.2748 0.0000 0.8287 [2 per cell]  1 Er 3.54, 8 Pr 3.60-3.76, 3 Pm 3.69-3.71
Pr 0.5000 0.5000 0.0000 [1 per cell]  8 Pr 3.60-3.72, 4 Pm 3.74
Er 0.4444 0.0000 0.3301 [2 per cell]  5 Pr 3.39-3.56, 2 Er 3.60, 2 Pm 3.68

Calculated values
Energy above the most stable polymorph in this dataset   0.0 kJ per mole of atoms
Calculated total energy   -55.95 eV per cell
Magnetization   0.00 μB per formula unit
Energy relative to the elements   7.13 kJ per mole of atoms



Entry from the Alexandria database: a relaxed structure of MgSc2Be (GGA-PBE).

abc: 3.0931 3.0931 8.2426
angles: 90.00 90.00 90.00
Closest atoms and distances in Å follow each position.
Space group P4mm (No. 99)
Asymmetric unit:
Mg 0.0000 0.0000 0.0000 [1 per cell]  4 Be 2.72
Sc 0.0000 0.0000 0.6006 [1 per cell]  4 Be 2.76
Sc 0.5000 0.5000 0.2997 [1 per cell]  8 Sc 3.09-3.31, 4 Mg 3.30
Be 0.5000 0.5000 0.8044 [1 per cell]  4 Mg 2.72, 4 Sc 2.76

Calculated values
Energy above the most stable polymorph in this dataset   13.1 kJ per mole of atoms
Calculated total energy   -17.68 eV per cell
Magnetization   0.01 μB per formula unit
Energy relative to the elements   7.43 kJ per mole of atoms



Entry from the Alexandria database: a relaxed structure of In3RhS (GGA-PBE).

abc: 5.1096 5.1096 5.1096
angles: 90.00 90.00 90.00
Closest atoms and distances in Å follow each position.
Space group Pm-3m (No. 221)
Asymmetric unit:
In 0.0000 0.0000 0.5000 [3 per cell]  2 Rh 2.55
Rh 0.0000 0.0000 0.0000 [1 per cell]  6 In 2.55
S 0.5000 0.5000 0.5000 [1 per cell]  12 In 3.61

Calculated values
Energy above the most stable polymorph in this dataset   0.0 kJ per mole of atoms
Calculated total energy   -20.13 eV per cell
Raw formation energy   -87 meV/atom
Magnetization   0.00 μB per formula unit



Entry from the Alexandria database: a relaxed structure of NdGa2SiOs2 (GGA-PBE).

abc: 4.4703 4.4703 5.6873
angles: 90.00 90.00 90.00
Closest atoms and distances in Å follow each position.
Space group P4/mmm (No. 123)
Asymmetric unit:
Nd 0.0000 0.0000 0.0000 [1 per cell]  2 Si 2.84
Ga 0.5000 0.5000 0.2282 [2 per cell]  1 Ga 2.60, 4 Os 2.72
Si 0.0000 0.0000 0.5000 [1 per cell]  4 Os 2.24
Os 0.0000 0.5000 0.5000 [2 per cell]  2 Si 2.24

Calculated values
Calculated total energy   -39.63 eV per cell
Raw formation energy   -154 meV/atom
Magnetization   0.00 μB per formula unit



Entry from the Alexandria database: a relaxed structure of CrSbTe2Mo (GGA-PBE).

abc: 5.2626 5.2626 4.9549
angles: 90.00 90.00 90.00
Closest atoms and distances in Å follow each position.
Space group P4/mmm (No. 123)
Asymmetric unit:
Cr 0.0000 0.0000 0.0000 [1 per cell]  2 Sb 2.48, 4 Te 2.63
Sb 0.0000 0.0000 0.5000 [1 per cell]  2 Cr 2.48
Te 0.0000 0.5000 0.0000 [2 per cell]  2 Cr 2.63
Mo 0.5000 0.5000 0.5000 [1 per cell]  8 Te 3.61, 4 Sb 3.72

Calculated values
Energy above the most stable polymorph in this dataset   19.4 kJ per mole of atoms
Calculated total energy   -25.81 eV per cell
Raw formation energy   1010 meV/atom
Magnetization   0.96 μB per formula unit



Entry from the Alexandria database: a relaxed structure of La4PmDyTm2 (GGA-PBE).

abc: 5.2134 5.2394 10.0016
angles: 90.00 90.00 90.00
Closest atoms and distances in Å follow each position.
Space group Pmmm (No. 47)
Asymmetric unit:
La 0.0000 0.0000 0.2484 [2 per cell]  2 Dy 3.60, 4 Tm 3.61-3.62, 2 Pm 3.63, 4 La 3.70
La 0.5000 0.5000 0.2476 [2 per cell]  4 Tm 3.60-3.64, 2 Dy 3.60, 2 Pm 3.63, 4 La 3.70
Pm 0.0000 0.5000 0.5000 [1 per cell]  8 La 3.63, 4 Tm 3.70
Dy 0.5000 0.0000 0.0000 [1 per cell]  8 La 3.60, 4 Tm 3.70
Tm 0.0000 0.5000 0.0000 [1 per cell]  8 La 3.60-3.61, 4 Dy 3.70
Tm 0.5000 0.0000 0.5000 [1 per cell]  8 La 3.62-3.64, 4 Pm 3.70

Calculated values
Calculated total energy   -37.85 eV per cell
Magnetization   0.00 μB per formula unit
Energy relative to the elements   1.91 kJ per mole of atoms



Entry from the Alexandria database: a relaxed structure of TlHS6 (GGA-PBE).

abc: 4.5301 5.0127 10.3981
angles: 85.44 82.74 74.87
Closest atoms and distances in Å follow each position.
Space group P-1 (No. 2)
Asymmetric unit:
Tl 0.0000 0.0000 0.0000 [1 per cell]  6 S 3.18-3.36
H 0.0000 0.0000 0.5000 [1 per cell]  2 S 1.65
S 0.1226 0.3470 0.3082 [2 per cell]  2 S 2.00-2.03
S 0.3201 0.9870 0.4018 [2 per cell]  1 H 1.65
S 0.3367 0.3766 0.1292 [2 per cell]  1 S 2.00

Calculated values
Calculated total energy   -30.01 eV per cell
Magnetization   0.00 μB per formula unit



Calculated density in Mg/m³, matching the order above: 8.1 6.6 15.9 7.8 4.6 6.9 2.6 6.0 10.1 6.4 7.3 2.9